Entry A
VASP calculation (PBE) on a geometry-optimized HgB2Pb2 structure.

## Properties
- space group = I4/mmm, No. 139
- DOS(E_F) (states/eV/atom) = 0.531
- M_tot (μB/cell) = 0.00
- V (Å³/cell) = 103.8

Cell lengths 5.6255, 5.6255, 5.6255 Å; angles 129.33, 129.33, 74.48 degrees
Closest atoms and distances in Å follow each position.
Fractional coordinates of all 5 atoms:
Hg: 0.0000 0.0000 0.0000  8 Pb 3.29, 10 B 3.50-3.66
B: 0.4084 0.4084 0.0000  1 B 1.64
B: 0.5916 0.5916 0.0000  1 B 1.64
Pb: 0.2500 0.7500 0.5000  4 B 2.79
Pb: 0.7500 0.2500 0.5000  4 B 2.79

---

Entry B
VASP calculation (PBE) on a geometry-optimized HgB2Pb2 structure.

## Properties
- space group = P4/mbm, No. 127
- DOS(E_F) (states/eV/atom) = 0.420
- M_tot (μB/cell) = 0.00
- V (Å³/cell) = 204.5

Cell lengths 7.0126, 7.0126, 4.1584 Å; angles 90.00, 90.00, 90.00 degrees
Closest atoms and distances in Å follow each position.
Fractional coordinates of all 10 atoms:
Hg: 0.0000 0.0000 0.0000  4 B 2.99, 8 Pb 3.29
Hg: 0.5000 0.5000 0.0000  4 B 2.99, 8 Pb 3.29
B: 0.0809 0.4191 0.0000  1 B 1.60
B: 0.4191 0.9191 0.0000  1 B 1.60
B: 0.5809 0.0809 0.0000  1 B 1.60
B: 0.9191 0.5809 0.0000  1 B 1.60
Pb: 0.1904 0.6904 0.5000  6 B 2.92-3.08
Pb: 0.3096 0.1904 0.5000  6 B 2.92-3.08
Pb: 0.6904 0.8096 0.5000  6 B 2.92-3.08
Pb: 0.8096 0.3096 0.5000  6 B 2.92-3.08

---

Least stable structure: entry B

---

Entry A
VASP calculation (PBE) on a geometry-optimized HgB3Pb structure.

## Properties
- space group = Pm-3m, No. 221
- DOS(E_F) (states/eV/atom) = 0.848
- M_tot (μB/cell) = 0.00
- V (Å³/cell) = 107.2

Cell lengths 4.7502, 4.7502, 4.7502 Å; angles 90.00, 90.00, 90.00 degrees
Closest atoms and distances in Å follow each position.
Fractional coordinates of all 5 atoms:
Hg: 0.0000 0.0000 0.0000  12 B 3.36
B: 0.0000 0.5000 0.5000  2 Pb 2.38
B: 0.5000 0.0000 0.5000  2 Pb 2.38
B: 0.5000 0.5000 0.0000  2 Pb 2.38
Pb: 0.5000 0.5000 0.5000  6 B 2.38

---

Entry B
VASP calculation (PBE) on a geometry-optimized HgB3Pb structure.

## Properties
- space group = Pm-3m, No. 221
- DOS(E_F) (states/eV/atom) = 0.672
- M_tot (μB/cell) = 0.00
- V (Å³/cell) = 91.5

Cell lengths 4.5064, 4.5064, 4.5064 Å; angles 90.00, 90.00, 90.00 degrees
Closest atoms and distances in Å follow each position.
Fractional coordinates of all 5 atoms:
Hg: 0.0000 0.0000 0.0000  6 B 2.25
B: 0.0000 0.0000 0.5000  2 Hg 2.25
B: 0.0000 0.5000 0.0000  2 Hg 2.25
B: 0.5000 0.0000 0.0000  2 Hg 2.25
Pb: 0.5000 0.5000 0.5000  12 B 3.19

---

Least stable structure: entry A

---

Entry A
VASP calculation (PBE) on a geometry-optimized HgB2Pb structure.

## Properties
- space group = Fm-3m, No. 225
- DOS(E_F) (states/eV/atom) = 0.272
- M_tot (μB/cell) = 0.00
- V (Å³/cell) = 70.6

Cell lengths 4.6401, 4.6401, 4.6401 Å; angles 60.00, 60.00, 60.00 degrees
Closest atoms and distances in Å follow each position.
Fractional coordinates of all 4 atoms:
Hg: 0.0000 0.0000 0.0000  8 B 2.84
B: 0.2500 0.2500 0.2500  4 Hg 2.84, 4 Pb 2.84
B: 0.7500 0.7500 0.7500  4 Hg 2.84, 4 Pb 2.84
Pb: 0.5000 0.5000 0.5000  8 B 2.84

---

Entry B
VASP calculation (PBE) on a geometry-optimized HgB2Pb structure.

## Properties
- space group = I-42d, No. 122
- DOS(E_F) (states/eV/atom) = 0.173
- M_tot (μB/cell) = 0.00
- V (Å³/cell) = 148.2

Cell lengths 7.6254, 7.6254, 7.6254 Å; angles 144.58, 144.58, 50.96 degrees
Closest atoms and distances in Å follow each position.
Fractional coordinates of all 8 atoms:
Hg: 0.0000 0.0000 0.0000  4 B 2.26
Hg: 0.7500 0.2500 0.5000  4 B 2.26
B: 0.0693 0.6250 0.9443  2 Hg 2.26, 2 Pb 2.51
B: 0.3750 0.3193 0.4443  2 Hg 2.26, 2 Pb 2.51
B: 0.6807 0.1250 0.0557  2 Hg 2.26, 2 Pb 2.51
B: 0.8750 0.9307 0.5557  2 Hg 2.26, 2 Pb 2.51
Pb: 0.2500 0.7500 0.5000  4 B 2.51
Pb: 0.5000 0.5000 0.0000  4 B 2.51

---

Least stable structure: entry A

---

Entry A
VASP calculation (PBE) on a geometry-optimized Hg2BPb structure.

## Properties
- space group = I-42d, No. 122
- DOS(E_F) (states/eV/atom) = 0.473
- M_tot (μB/cell) = 0.00
- V (Å³/cell) = 193.4

Cell lengths 6.3112, 6.3112, 6.3112 Å; angles 108.80, 108.80, 110.83 degrees
Closest atoms and distances in Å follow each position.
Fractional coordinates of all 8 atoms:
Hg: 0.0014 0.6250 0.8764  2 B 2.24
Hg: 0.3750 0.2514 0.3764  2 B 2.24
Hg: 0.7486 0.1250 0.1236  2 B 2.24
Hg: 0.8750 0.9986 0.6236  2 B 2.24
B: 0.0000 0.0000 0.0000  4 Hg 2.24
B: 0.7500 0.2500 0.5000  4 Hg 2.24
Pb: 0.2500 0.7500 0.5000  8 Hg 3.38-3.42, 2 B 3.58
Pb: 0.5000 0.5000 0.0000  8 Hg 3.38-3.42, 2 B 3.58

---

Entry B
VASP calculation (PBE) on a geometry-optimized Hg2BPb structure.

## Properties
- space group = Fm-3m, No. 225
- DOS(E_F) (states/eV/atom) = 0.855
- M_tot (μB/cell) = 0.00
- V (Å³/cell) = 93.0

Cell lengths 5.0848, 5.0848, 5.0848 Å; angles 60.00, 60.00, 60.00 degrees
Closest atoms and distances in Å follow each position.
Fractional coordinates of all 4 atoms:
Hg: 0.2500 0.2500 0.2500  4 Pb 3.11, 4 B 3.11
Hg: 0.7500 0.7500 0.7500  4 Pb 3.11, 4 B 3.11
B: 0.0000 0.0000 0.0000  8 Hg 3.11
Pb: 0.5000 0.5000 0.5000  8 Hg 3.11

---

Least stable structure: entry B

---

Entry A
VASP calculation (PBE) on a geometry-optimized HgBPb2 structure.

## Properties
- space group = Fm-3m, No. 225
- DOS(E_F) (states/eV/atom) = 0.438
- M_tot (μB/cell) = 0.00
- V (Å³/cell) = 97.7

Cell lengths 5.1695, 5.1695, 5.1695 Å; angles 60.00, 60.00, 60.00 degrees
Closest atoms and distances in Å follow each position.
Fractional coordinates of all 4 atoms:
Hg: 0.0000 0.0000 0.0000  8 Pb 3.17
B: 0.5000 0.5000 0.5000  8 Pb 3.17
Pb: 0.2500 0.2500 0.2500  4 Hg 3.17, 4 B 3.17
Pb: 0.7500 0.7500 0.7500  4 Hg 3.17, 4 B 3.17

---

Entry B
VASP calculation (PBE) on a geometry-optimized HgBPb2 structure.

## Properties
- space group = I-42d, No. 122
- DOS(E_F) (states/eV/atom) = 0.439
- M_tot (μB/cell) = 0.00
- V (Å³/cell) = 229.9

Cell lengths 7.0880, 7.0880, 7.0880 Å; angles 125.02, 125.02, 81.50 degrees
Closest atoms and distances in Å follow each position.
Fractional coordinates of all 8 atoms:
Hg: 0.0000 0.0000 0.0000  4 Pb 3.04
Hg: 0.7500 0.2500 0.5000  4 Pb 3.04
B: 0.2500 0.7500 0.5000  4 Pb 2.38
B: 0.5000 0.5000 0.0000  4 Pb 2.38
Pb: 0.2096 0.6250 0.0846  2 B 2.38
Pb: 0.3750 0.4596 0.5846  2 B 2.38
Pb: 0.5404 0.1250 0.9154  2 B 2.38
Pb: 0.8750 0.7904 0.4154  2 B 2.38

---

Least stable structure: entry A

---

Entry A
VASP calculation (PBE) on a geometry-optimized Hg2BPd6 structure.

## Properties
- space group = P2/m, No. 10
- DOS(E_F) (states/eV/atom) = 0.523
- M_tot (μB/cell) = 0.00
- V (Å³/cell) = 146.6

Cell lengths 5.6749, 4.5293, 6.3658 Å; angles 90.00, 116.39, 90.00 degrees
Closest atoms and distances in Å follow each position.
Fractional coordinates of all 9 atoms:
Hg: 0.2371 0.0000 0.4743  2 Hg 2.85, 10 Pd 2.93-3.07
Hg: 0.7629 0.0000 0.5257  2 Hg 2.85, 10 Pd 2.93-3.07
B: 0.5000 0.5000 0.0000  4 Pd 2.07
Pd: 0.1172 0.5000 0.7380  1 B 2.07
Pd: 0.2558 0.0000 0.0001  2 B 2.66, 6 Pd 2.71-2.90
Pd: 0.3790 0.5000 0.2623  1 B 2.07
Pd: 0.6210 0.5000 0.7377  1 B 2.07
Pd: 0.7442 0.0000 0.9999  2 B 2.66, 6 Pd 2.71-2.90
Pd: 0.8828 0.5000 0.2620  1 B 2.07

---

Entry B
VASP calculation (PBE) on a geometry-optimized Hg2BPd6 structure.

## Properties
- space group = I4/mmm, No. 139
- DOS(E_F) (states/eV/atom) = 0.525
- M_tot (μB/cell) = 0.00
- V (Å³/cell) = 141.8

Cell lengths 5.8686, 5.8686, 5.8686 Å; angles 120.53, 120.53, 89.09 degrees
Closest atoms and distances in Å follow each position.
Fractional coordinates of all 9 atoms:
Hg: 0.2500 0.7500 0.5000  12 Pd 2.91-2.93
Hg: 0.7500 0.2500 0.5000  12 Pd 2.91-2.93
B: 0.0000 0.0000 0.0000  6 Pd 2.10-2.11
Pd: 0.2528 0.2528 0.0000  1 B 2.11
Pd: 0.2546 0.2546 0.5093  1 B 2.10
Pd: 0.2546 0.7454 0.0000  1 B 2.10
Pd: 0.7454 0.2546 0.0000  1 B 2.10
Pd: 0.7454 0.7454 0.4907  1 B 2.10
Pd: 0.7472 0.7472 0.0000  1 B 2.11

---

Least stable structure: entry A

---

Entry A
VASP calculation (PBE) on a geometry-optimized Hg3BPt structure.

## Properties
- space group = Pm-3m, No. 221
- DOS(E_F) (states/eV/atom) = 0.755
- M_tot (μB/cell) = 0.47
- V (Å³/cell) = 146.9

Cell lengths 5.2768, 5.2768, 5.2768 Å; angles 90.00, 90.00, 90.00 degrees
Closest atoms and distances in Å follow each position.
Fractional coordinates of all 5 atoms:
Hg: 0.0000 0.0000 0.5000  2 Pt 2.64
Hg: 0.0000 0.5000 0.0000  2 Pt 2.64
Hg: 0.5000 0.0000 0.0000  2 Pt 2.64
B: 0.5000 0.5000 0.5000  12 Hg 3.73
Pt: 0.0000 0.0000 0.0000  6 Hg 2.64

---

Entry B
VASP calculation (PBE) on a geometry-optimized Hg3BPt structure.

## Properties
- space group = Pm-3m, No. 221
- DOS(E_F) (states/eV/atom) = 0.380
- M_tot (μB/cell) = 0.00
- V (Å³/cell) = 94.8

Cell lengths 4.5599, 4.5599, 4.5599 Å; angles 90.00, 90.00, 90.00 degrees
Closest atoms and distances in Å follow each position.
Fractional coordinates of all 5 atoms:
Hg: 0.0000 0.0000 0.5000  2 B 2.28
Hg: 0.0000 0.5000 0.0000  2 B 2.28
Hg: 0.5000 0.0000 0.0000  2 B 2.28
B: 0.0000 0.0000 0.0000  6 Hg 2.28
Pt: 0.5000 0.5000 0.5000  12 Hg 3.22

---

Least stable structure: entry A

---

Entry A
VASP calculation (PBE) on a geometry-optimized HgBPt2 structure.

## Properties
- space group = P-3m1, No. 164
- DOS(E_F) (states/eV/atom) = 0.387
- M_tot (μB/cell) = 0.00
- V (Å³/cell) = 62.4

Cell lengths 3.2675, 3.2675, 6.7520 Å; angles 90.00, 90.00, 120.00 degrees
Closest atoms and distances in Å follow each position.
Fractional coordinates of all 4 atoms:
Hg: 0.0000 0.0000 0.0000  6 Pt 2.94, 6 Hg 3.27
B: 0.0000 0.0000 0.5000  6 Pt 2.19
Pt: 0.3333 0.6667 0.6660  3 B 2.19
Pt: 0.6667 0.3333 0.3340  3 B 2.19

---

Entry B
VASP calculation (PBE) on a geometry-optimized HgBPt2 structure.

## Properties
- space group = Fm-3m, No. 225
- DOS(E_F) (states/eV/atom) = 0.634
- M_tot (μB/cell) = 0.00
- V (Å³/cell) = 61.4

Cell lengths 4.4282, 4.4282, 4.4282 Å; angles 60.00, 60.00, 60.00 degrees
Closest atoms and distances in Å follow each position.
Fractional coordinates of all 4 atoms:
Hg: 0.0000 0.0000 0.0000  8 Pt 2.71
B: 0.5000 0.5000 0.5000  8 Pt 2.71
Pt: 0.2500 0.2500 0.2500  4 B 2.71, 4 Hg 2.71
Pt: 0.7500 0.7500 0.7500  4 B 2.71, 4 Hg 2.71

---

Least stable structure: entry B